<w>
TbYGaHg | PBE | relaxed

Lattice parameters (Å, degrees): 7.3445 7.3445 7.3445 90.00 90.00 90.00
Space group F-43m (No. 216)
Symmetry-distinct sites (fractional):
1 Tb 0.0000 0.0000 0.0000
2 Y 0.0000 0.0000 0.5000
3 Ga 0.2500 0.2500 0.7500
4 Hg 0.2500 0.2500 0.2500

Output
* DOS at the Fermi energy: 17.5 states/eV per cell

<x>
TbYGaHg | PBE | relaxed

Lattice parameters (Å, degrees): 3.6332 3.6332 7.4381 90.00 90.00 90.00
Space group P4mm (No. 99)
Symmetry-distinct sites (fractional):
1 Tb 0.0000 0.0000 0.0000
2 Y 0.0000 0.0000 0.5265
3 Ga 0.5000 0.5000 0.7624
4 Hg 0.5000 0.5000 0.2648

Output
* DOS at the Fermi energy: 2.9 states/eV per cell

Winner for stability: <x>

<w>
GaTcHg3 | PBE | relaxed

Lattice parameters (Å, degrees): 5.2511 5.4117 8.9728 79.16 78.43 73.16
Space group P1 (No. 1)
Symmetry-distinct sites (fractional):
1 Ga 0.0000 0.0000 0.0000
2 Ga 0.3398 0.5638 0.1997
3 Tc 0.0690 0.4615 0.9400
4 Tc 0.8484 0.6084 0.1620
5 Hg 0.3456 0.2423 0.6593
6 Hg 0.4547 0.0642 0.0824
7 Hg 0.5729 0.8267 0.4395
8 Hg 0.5798 0.5444 0.8439
9 Hg 0.9363 0.2273 0.4116
10 Hg 0.9950 0.8491 0.6832

Output
* DOS at the Fermi energy: 3.5 states/eV per cell

<x>
GaTcHg3 | PBE | relaxed

Lattice parameters (Å, degrees): 10.1429 7.4567 2.8758 90.00 97.80 90.00
Space group C2 (No. 5)
Symmetry-distinct sites (fractional):
1 Ga 0.0000 0.0000 0.0000
2 Tc 0.0000 0.7108 0.5000
3 Hg 0.0000 0.3745 0.0000
4 Hg 0.2447 0.6709 0.1135

Output
* DOS at the Fermi energy: 5.2 states/eV per cell

<y>
GaTcHg3 | PBE | relaxed

Lattice parameters (Å, degrees): 5.8142 6.0330 7.1607 95.22 112.14 102.77
Space group P1 (No. 1)
Symmetry-distinct sites (fractional):
1 Ga 0.0000 0.0000 0.0000
2 Ga 0.3962 0.1684 0.6814
3 Tc 0.1957 0.3527 0.8828
4 Tc 0.7946 0.0880 0.6424
5 Hg 0.3655 0.6990 0.2515
6 Hg 0.4462 0.7206 0.7452
7 Hg 0.5070 0.2336 0.2733
8 Hg 0.8025 0.4435 0.0430
9 Hg 0.8868 0.6182 0.6479
10 Hg 0.9164 0.9406 0.3255

Output
* DOS at the Fermi energy: 2.4 states/eV per cell

Winner for stability: <w>

<w>
GaTcHg3 | PBE | relaxed

Lattice parameters (Å, degrees): 5.3199 5.3199 5.3199 90.00 90.00 90.00
Space group Pm-3m (No. 221)
Symmetry-distinct sites (fractional):
1 Ga 0.0000 0.0000 0.0000
2 Tc 0.5000 0.5000 0.5000
3 Hg 0.0000 0.5000 0.5000

Output
* DOS at the Fermi energy: 4.1 states/eV per cell

<x>
GaTcHg3 | PBE | relaxed

Lattice parameters (Å, degrees): 5.4280 5.5375 9.4782 75.17 89.69 60.70
Space group P1 (No. 1)
Symmetry-distinct sites (fractional):
1 Ga 0.0000 0.0000 0.0000
2 Ga 0.0519 0.5019 0.9384
3 Tc 0.4405 0.0060 0.0758
4 Tc 0.6154 0.9983 0.8582
5 Hg 0.1811 0.0465 0.3382
6 Hg 0.2165 0.3127 0.6042
7 Hg 0.5090 0.4401 0.1537
8 Hg 0.5508 0.5650 0.7776
9 Hg 0.8404 0.6974 0.3306
10 Hg 0.8780 0.9758 0.5946

Output
* DOS at the Fermi energy: 2.5 states/eV per cell

<y>
GaTcHg3 | PBE | relaxed

Lattice parameters (Å, degrees): 5.5013 5.5143 8.3490 81.69 81.44 62.39
Space group P1 (No. 1)
Symmetry-distinct sites (fractional):
1 Ga 0.0000 0.0000 0.0000
2 Ga 0.4669 0.4679 0.0535
3 Tc 0.0605 0.5593 0.9069
4 Tc 0.9090 0.4085 0.1446
5 Hg 0.0006 0.6739 0.3714
6 Hg 0.2078 0.8788 0.6113
7 Hg 0.4185 0.9329 0.2256
8 Hg 0.5353 0.0491 0.8260
9 Hg 0.5932 0.2578 0.4398
10 Hg 0.7870 0.4684 0.6845

Output
* DOS at the Fermi energy: 2.5 states/eV per cell

<z>
GaTcHg3 | PBE | relaxed

Lattice parameters (Å, degrees): 5.1546 5.1546 5.1546 90.00 90.00 90.00
Space group Pm-3m (No. 221)
Symmetry-distinct sites (fractional):
1 Ga 0.0000 0.0000 0.0000
2 Tc 0.5000 0.5000 0.5000
3 Hg 0.0000 0.0000 0.5000

Output
* DOS at the Fermi energy: 4.0 states/eV per cell

Winner for stability: <x>

<w>
Ga2TcHg2 | PBE | relaxed

Lattice parameters (Å, degrees): 3.7123 3.7123 15.5510 90.00 90.00 90.00
Space group I4/mmm (No. 139)
Symmetry-distinct sites (fractional):
1 Ga 0.0000 0.0000 0.0797
2 Tc 0.0000 0.0000 0.5000
3 Hg 0.0000 0.5000 0.2500

Output
* DOS at the Fermi energy: 8.1 states/eV per cell

<x>
Ga2TcHg2 | PBE | relaxed

Lattice parameters (Å, degrees): 6.8803 6.8803 4.0213 90.00 90.00 90.00
Space group P4/mbm (No. 127)
Symmetry-distinct sites (fractional):
1 Ga 0.1542 0.3458 0.0000
2 Tc 0.0000 0.0000 0.0000
3 Hg 0.1574 0.6574 0.5000

Output
* DOS at the Fermi energy: 6.1 states/eV per cell

Winner for stability: <x>

<w>
GaTc2Hg | PBE | relaxed

Lattice parameters (Å, degrees): 7.2903 7.2903 5.2510 90.00 90.00 90.00
Space group I-42d (No. 122)
Symmetry-distinct sites (fractional):
1 Ga 0.0000 0.0000 0.0000
2 Tc 0.2174 0.2500 0.1250
3 Hg 0.0000 0.0000 0.5000

Output
* DOS at the Fermi energy: 14.3 states/eV per cell

<x>
GaTc2Hg | PBE | relaxed

Lattice parameters (Å, degrees): 6.3432 6.3432 6.3432 90.00 90.00 90.00
Space group Fm-3m (No. 225)
Symmetry-distinct sites (fractional):
1 Ga 0.0000 0.0000 0.0000
2 Tc 0.2500 0.2500 0.2500
3 Hg 0.0000 0.0000 0.5000

Output
* DOS at the Fermi energy: 24.0 states/eV per cell

Winner for stability: <x>

<w>
GaHgTe3 | PBE | relaxed

Lattice parameters (Å, degrees): 5.4492 5.4492 5.4492 90.00 90.00 90.00
Space group Pm-3m (No. 221)
Symmetry-distinct sites (fractional):
1 Ga 0.0000 0.0000 0.0000
2 Hg 0.5000 0.5000 0.5000
3 Te 0.0000 0.0000 0.5000

Output
* DOS at the Fermi energy: 6.2 states/eV per cell

<x>
GaHgTe3 | PBE | relaxed

Lattice parameters (Å, degrees): 4.4853 6.5953 6.6103 68.78 70.44 70.42
Space group P1 (No. 1)
Symmetry-distinct sites (fractional):
1 Ga 0.0000 0.0000 0.0000
2 Hg 0.5023 0.3790 0.6169
3 Te 0.0005 0.6166 0.3829
4 Te 0.3167 0.2572 0.1036
5 Te 0.6846 0.8930 0.7445

Output
* DOS at the Fermi energy: 1.5 states/eV per cell

Winner for stability: <x>